LiZrTi PBE relaxed; offset from the most stable computed form = 35.0 meV/atom; ΔH_f (0 K) = 0.17 eV per atom; M_tot = 0.0 Bohr magnetons per cell
1.0
2.9781 0.0000 0.0000
0.0000 2.9781 0.0000
0.0000 0.0000 13.8686
Li Zr Ti
2 2 2
Direct
0.0000 0.0000 0.0000
0.5000 0.5000 0.5000
0.0000 0.0000 0.6848
0.5000 0.5000 0.1848
0.0000 0.0000 0.3298
0.5000 0.5000 0.8298



Li3ZrTi PBE relaxed; offset from the most stable computed form = 0.0 meV/atom; ΔH_f (0 K) = 1.12 eV per atom; M_tot = 3.7 Bohr magnetons per cell
1.0
4.6430 0.0000 0.0000
0.0000 4.6430 0.0000
0.0000 0.0000 4.6430
Li Zr Ti
3 1 1
Direct
0.0000 0.0000 0.5000
0.0000 0.5000 0.0000
0.5000 0.0000 0.0000
0.5000 0.5000 0.5000
0.0000 0.0000 0.0000



Li2ZrTi PBE relaxed; offset from the most stable computed form = 102.4 meV/atom; ΔH_f (0 K) = 0.54 eV per atom; M_tot = 0.0 Bohr magnetons per cell
1.0
7.4800 0.0000 0.0000
0.0000 7.4800 0.0000
0.0000 0.0000 5.1704
Li Zr Ti
8 4 4
Direct
0.2359 0.2500 0.1250
0.2500 0.7359 0.3750
0.2500 0.7641 0.8750
0.2641 0.2500 0.6250
0.7359 0.7500 0.6250
0.7500 0.2359 0.8750
0.7500 0.2641 0.3750
0.7641 0.7500 0.1250
0.0000 0.0000 0.5000
0.0000 0.5000 0.7500
0.5000 0.0000 0.2500
0.5000 0.5000 0.0000
0.0000 0.0000 0.0000
0.0000 0.5000 0.2500
0.5000 0.0000 0.7500
0.5000 0.5000 0.5000